Entry from Alexandria via LeMat-Bulk: PrSm3Th4As8 after structural relaxation (PBE-GGA).

The structure belongs to space group R-3m (No. 166, hexagonal axes); the cell edges are 8.5047, 8.5047 and 20.7432 Å and the angles 90.00°, 90.00° and 120.00°. Symmetry generates all atoms from Pr at (0.0000, 0.0000, 0.0000), Sm at (0.0000, 0.5000, 0.0000), Th at (0.0000, 0.0000, 0.5000), Th at (0.0000, 0.5000, 0.5000), As at (0.0000, 0.0000, 0.2501) and As at (0.0023, 0.5012, 0.2495).

As for the energy of formation from the pure elements: -2276 kJ/mol of formula units. The value obtained for the volume is 1299.3 Å³ per cell.